# 1
Ag2HgBr PBE-GGA relaxed; space-group type = No. 99; density = 8.800 Mg/m³; polymorph energy (0 for the lowest one) = 113 meV per atom
1.0
3.6294 0.0000 0.0000
0.0000 3.6294 0.0000
0.0000 0.0000 7.1081
Ag Hg Br
2 1 1
Direct
0.0000 0.0000 0.0000
0.5000 0.5000 0.2209
0.5000 0.5000 0.7993
0.0000 0.0000 0.4288

# 2
AgHgBr2 PBE-GGA relaxed; space-group type = No. 6; density = 6.225 Mg/m³; polymorph energy (0 for the lowest one) = 0 meV per atom
1.0
4.4726 0.0000 0.0000
0.0000 6.4623 0.0000
-1.1609 0.0000 4.3221
Ag Hg Br
1 1 2
Direct
0.0000 0.0000 0.0000
0.5285 0.5000 0.4752
0.0269 0.5000 0.9769
0.6160 0.0000 0.3837

# 3
AgHg3Br PBE-GGA relaxed; space-group type = No. 221; density = 8.121 Mg/m³; polymorph energy (0 for the lowest one) = 106 meV per atom
1.0
5.4452 0.0000 0.0000
0.0000 5.4452 0.0000
0.0000 0.0000 5.4452
Ag Hg Br
1 3 1
Direct
0.0000 0.0000 0.0000
0.0000 0.0000 0.5000
0.0000 0.5000 0.0000
0.5000 0.0000 0.0000
0.5000 0.5000 0.5000

# 4
AgHgBr2 PBE-GGA relaxed; space-group type = No. 123; density = 7.722 Mg/m³; polymorph energy (0 for the lowest one) = 184 meV per atom
1.0
3.6841 0.0000 0.0000
0.0000 3.6841 0.0000
0.0000 0.0000 7.4191
Ag Hg Br
1 1 2
Direct
0.0000 0.0000 0.0000
0.0000 0.0000 0.5000
0.5000 0.5000 0.2338
0.5000 0.5000 0.7662

# 5
AgHgBr2 PBE-GGA relaxed; space-group type = No. 166; density = 6.059 Mg/m³; polymorph energy (0 for the lowest one) = 54 meV per atom
1.0
4.0704 0.0000 0.0000
-2.0352 3.5251 0.0000
0.0000 0.0000 26.8299
Ag Hg Br
3 3 6
Direct
0.0000 0.0000 0.0000
0.3333 0.6667 0.6667
0.6667 0.3333 0.3333
0.0000 0.0000 0.5000
0.3333 0.6667 0.1667
0.6667 0.3333 0.8333
0.0000 0.0000 0.3932
0.0000 0.0000 0.6068
0.3333 0.6667 0.0599
0.3333 0.6667 0.2734
0.6667 0.3333 0.7266
0.6667 0.3333 0.9401

# 6
Ag3Hg12Br5 PBE-GGA relaxed; space-group type = No. 230; density = 7.834 Mg/m³
1.0
-8.7220 8.7220 8.7220
8.7220 -8.7220 8.7220
8.7220 8.7220 -8.7220
Ag Hg Br
12 48 20
Direct
0.1250 0.2500 0.3750
0.1250 0.3750 0.7500
0.2500 0.3750 0.1250
0.2500 0.8750 0.6250
0.3750 0.1250 0.2500
0.3750 0.7500 0.1250
0.6250 0.2500 0.8750
0.6250 0.8750 0.7500
0.7500 0.1250 0.3750
0.7500 0.6250 0.8750
0.8750 0.6250 0.2500
0.8750 0.7500 0.6250
0.0554 0.6296 0.3835
0.0554 0.9258 0.6720
0.0742 0.2461 0.1296
0.0742 0.3280 0.9446
0.1165 0.7461 0.6720
0.1165 0.8704 0.4446
0.1296 0.0742 0.2461
0.1296 0.5554 0.8835
0.1720 0.2461 0.6165
0.1720 0.4258 0.5554
0.2461 0.1296 0.0742
0.2461 0.6165 0.1720
0.2539 0.3280 0.8835
0.2539 0.4258 0.3704
0.3280 0.8835 0.2539
0.3280 0.9446 0.0742
0.3704 0.2539 0.4258
0.3704 0.6165 0.9446
0.3835 0.0554 0.6296
0.3835 0.8280 0.7539
0.4258 0.3704 0.2539
0.4258 0.5554 0.1720
0.4446 0.1165 0.8704
0.4446 0.8280 0.5742
0.5554 0.1720 0.4258
0.5554 0.8835 0.1296
0.5742 0.4446 0.8280
0.5742 0.6296 0.7461
0.6165 0.1720 0.2461
0.6165 0.9446 0.3704
0.6296 0.3835 0.0554
0.6296 0.7461 0.5742
0.6720 0.0554 0.9258
0.6720 0.1165 0.7461
0.7461 0.5742 0.6296
0.7461 0.6720 0.1165
0.7539 0.3835 0.8280
0.7539 0.8704 0.9258
0.8280 0.5742 0.4446
0.8280 0.7539 0.3835
0.8704 0.4446 0.1165
0.8704 0.9258 0.7539
0.8835 0.1296 0.5554
0.8835 0.2539 0.3280
0.9258 0.6720 0.0554
0.9258 0.7539 0.8704
0.9446 0.0742 0.3280
0.9446 0.3704 0.6165
0.0000 0.0000 0.0000
0.0000 0.0000 0.5000
0.0000 0.5000 0.0000
0.0000 0.5000 0.5000
0.1250 0.7500 0.8750
0.1250 0.8750 0.2500
0.2500 0.1250 0.8750
0.2500 0.6250 0.3750
0.3750 0.2500 0.6250
0.3750 0.6250 0.7500
0.5000 0.0000 0.0000
0.5000 0.0000 0.5000
0.5000 0.5000 0.0000
0.5000 0.5000 0.5000
0.6250 0.3750 0.2500
0.6250 0.7500 0.3750
0.7500 0.3750 0.6250
0.7500 0.8750 0.1250
0.8750 0.1250 0.7500
0.8750 0.2500 0.1250

# 7
AgHgBr2 PBE-GGA relaxed; space-group type = No. 216; density = 7.629 Mg/m³; polymorph energy (0 for the lowest one) = 394 meV per atom
1.0
7.4151 0.0000 0.0000
0.0000 7.4151 0.0000
0.0000 0.0000 7.4151
Ag Hg Br
4 4 8
Direct
0.0000 0.0000 0.0000
0.0000 0.5000 0.5000
0.5000 0.0000 0.5000
0.5000 0.5000 0.0000
0.2500 0.2500 0.2500
0.2500 0.7500 0.7500
0.7500 0.2500 0.7500
0.7500 0.7500 0.2500
0.0000 0.0000 0.5000
0.0000 0.5000 0.0000
0.2500 0.2500 0.7500
0.2500 0.7500 0.2500
0.5000 0.0000 0.0000
0.5000 0.5000 0.5000
0.7500 0.2500 0.2500
0.7500 0.7500 0.7500

# 8
AgHgBr PBE-GGA relaxed; space-group type = No. 156; density = 7.779 Mg/m³; polymorph energy (0 for the lowest one) = 15 meV per atom
1.0
4.0546 0.0000 0.0000
-2.0273 3.5114 0.0000
0.0000 0.0000 5.8227
Ag Hg Br
1 1 1
Direct
0.0000 0.0000 0.0000
0.3333 0.6667 0.6912
0.6667 0.3333 0.2639

# 9
Ag2Hg3Br3 PBE-GGA relaxed; space-group type = No. 148; density = 7.339 Mg/m³
1.0
6.7705 3.9090 6.0256
-6.7705 3.9090 6.0256
0.0000 -7.8180 6.0256
Ag Hg Br
8 12 12
Direct
0.2253 0.2253 0.2253
0.2379 0.7518 0.2929
0.2482 0.7071 0.7621
0.2929 0.2379 0.7518
0.7071 0.7621 0.2482
0.7518 0.2929 0.2379
0.7621 0.2482 0.7071
0.7747 0.7747 0.7747
0.0201 0.3323 0.7952
0.1831 0.3042 0.4973
0.2048 0.9799 0.6677
0.3042 0.4973 0.1831
0.3323 0.7952 0.0201
0.4973 0.1831 0.3042
0.5027 0.8169 0.6958
0.6677 0.2048 0.9799
0.6958 0.5027 0.8169
0.7952 0.0201 0.3323
0.8169 0.6958 0.5027
0.9799 0.6677 0.2048
0.0036 0.6646 0.8885
0.1115 0.9964 0.3354
0.1525 0.6199 0.5269
0.3354 0.1115 0.9964
0.3801 0.4731 0.8475
0.4731 0.8475 0.3801
0.5269 0.1525 0.6199
0.6199 0.5269 0.1525
0.6646 0.8885 0.0036
0.8475 0.3801 0.4731
0.8885 0.0036 0.6646
0.9964 0.3354 0.1115

# 10
Ag3HgBr8 PBE-GGA relaxed; space-group type = No. 8; density = 4.394 Mg/m³
1.0
7.3792 -2.7112 0.0000
7.3792 2.7112 0.0000
-2.7896 0.0000 10.9882
Ag Hg Br
3 1 8
Direct
0.0000 0.0000 0.0000
0.0808 0.0808 0.4706
0.2929 0.2929 0.9449
0.3720 0.3720 0.4758
0.1041 0.1041 0.2398
0.1173 0.1173 0.8567
0.2570 0.2570 0.6189
0.2980 0.2980 0.2336
0.4726 0.4726 0.9921
0.5616 0.5616 0.4675
0.8122 0.8122 0.9516
0.9268 0.9268 0.5475

# 11
AgHgBr2 PBE-GGA relaxed; space-group type = No. 35; density = 5.896 Mg/m³; polymorph energy (0 for the lowest one) = 94 meV per atom
1.0
4.0923 0.0000 0.0000
0.0000 7.2712 0.0000
0.0000 0.0000 8.8641
Ag Hg Br
2 2 4
Direct
0.0000 0.0000 0.0000
0.5000 0.5000 0.0000
0.0000 0.5000 0.2157
0.5000 0.0000 0.2157
0.0000 0.0000 0.4211
0.0000 0.5000 0.8159
0.5000 0.0000 0.8159
0.5000 0.5000 0.4211

# 12
AgHgBr2 PBE-GGA relaxed; space-group type = No. 119; density = 6.412 Mg/m³; polymorph energy (0 for the lowest one) = 70 meV per atom
1.0
4.0792 0.0000 0.0000
0.0000 4.0792 0.0000
0.0000 0.0000 14.5764
Ag Hg Br
2 2 4
Direct
0.0000 0.0000 0.0000
0.5000 0.5000 0.5000
0.0000 0.5000 0.2500
0.5000 0.0000 0.7500
0.0000 0.0000 0.5000
0.0000 0.5000 0.7500
0.5000 0.0000 0.2500
0.5000 0.5000 0.0000

Number 1: raw formation energy 39 meV per atom. Number 2: raw formation energy -226 meV per atom. Number 3: raw formation energy -17 meV per atom. Number 4: raw formation energy -43 meV per atom. Number 5: raw formation energy -172 meV per atom. Number 6: raw formation energy -70 meV per atom. Number 7: raw formation energy 167 meV per atom. Number 8: raw formation energy -191 meV per atom. Number 9: raw formation energy -198 meV per atom. Number 10: raw formation energy -204 meV per atom. Number 11: raw formation energy -132 meV per atom. Number 12: raw formation energy -156 meV per atom.